GGA-PBEsol YCr2Os, optimized geometry; space group = P2/m (10); M_tot = 0.00 μB/cell; formation energy from the elements = 0.395 eV per atom; DFT total energy = -9.486 eV/atom
1.0
2.808 0.000 0.000
0.000 4.135 0.000
-1.236 0.000 5.502
Y Cr Os
1 2 1
Cartesian
0.000 0.000 0.000
-0.265 2.068 3.705
1.837 2.068 1.798
0.786 0.000 2.751